This record from Alexandria describes a geometry-optimized TiAlAu structure. The functional is PBE.

Calculated values
- Final energy: -5.402 eV/atom
- Space group: C2/m (12)
- V: 98 Å³/cell
- ΔH_f (0 K): -431 meV per atom

```
TiAlAu
1.0
6.339 -2.002 0.000
6.339 2.002 0.000
-0.004 0.000 3.873
Ti Al Au
2 2 2
direct
0.000 0.000 0.000
0.500 0.500 0.500
0.167 0.167 0.501
0.833 0.833 0.499
0.337 0.337 0.999
0.663 0.663 0.001
```